A relaxed Cs2NiOsI6 crystal. Source: Alexandria, functional PBE.

Values from the calculation:
Uncorrected formation energy (eV/atom): -0.352
Electronic total energy (eV per atom): -3.1540

Cell: 7.975 7.975 7.941 Å, 59.86 59.86 90.00°
Atoms (fractional coordinates):
Cs1 0.750 0.250 0.500
Cs2 0.250 0.750 0.500
I1 0.247 0.247 0.505
I2 0.753 0.753 0.495
I3 0.245 0.245 0.000
I4 0.755 0.755 0.000
I5 0.755 0.245 0.000
I6 0.245 0.755 0.000
Os1 0.000 0.000 0.000
Ni1 0.500 0.500 0.000



A relaxed Cs2NiPdI6 crystal. Source: Alexandria, functional PBE.

Values from the calculation:
Uncorrected formation energy (eV/atom): -0.655
Electronic total energy (eV per atom): -2.8533

Cell: 7.950 7.950 7.962 Å, 60.05 60.05 90.00°
Atoms (fractional coordinates):
Cs1 0.750 0.250 0.500
Cs2 0.250 0.750 0.500
I1 0.256 0.256 0.489
I2 0.744 0.744 0.511
I3 0.254 0.254 0.000
I4 0.746 0.746 0.000
I5 0.746 0.254 0.000
I6 0.254 0.746 0.000
Pd1 0.000 0.000 0.000
Ni1 0.500 0.500 0.000



A relaxed Cs2NiPtI6 crystal. Source: Alexandria, functional PBE.

Values from the calculation:
Uncorrected formation energy (eV/atom): -0.606
Electronic total energy (eV per atom): -2.8886

Cell: 7.938 7.938 7.948 Å, 60.04 60.04 90.00°
Atoms (fractional coordinates):
Cs1 0.750 0.250 0.500
Cs2 0.250 0.750 0.500
I1 0.251 0.251 0.498
I2 0.749 0.749 0.502
I3 0.253 0.253 0.000
I4 0.747 0.747 0.000
I5 0.747 0.253 0.000
I6 0.253 0.747 0.000
Pt1 0.000 0.000 0.000
Ni1 0.500 0.500 0.000



A relaxed Cs2PuNiI6 crystal. Source: Alexandria, functional PBE.

Values from the calculation:
Uncorrected formation energy (eV/atom): -1.009
Electronic total energy (eV per atom): -4.1210

Cell: 7.083 8.447 8.447 Å, 120.00 90.00 90.00°
Atoms (fractional coordinates):
Cs1 0.251 0.333 0.667
Cs2 0.749 0.667 0.333
Pu1 0.500 0.000 0.000
Ni1 0.000 0.000 0.000
I1 0.775 0.163 0.327
I2 0.775 0.163 0.837
I3 0.775 0.673 0.837
I4 0.225 0.837 0.163
I5 0.225 0.327 0.163
I6 0.225 0.837 0.673



Number 1: volume 356 Å³ per cell. Number 2: volume 356 Å³ per cell. Number 3: volume 355 Å³ per cell. Number 4: volume 438 Å³ per cell.